w) An optimized crystal structure of DyNbW, computed with PBE-GGA.

It has space group F-43m (No. 216), with a = 6.503 Å, b = 6.503 Å, c = 6.503 Å, α = 90.00°, β = 90.00° and γ = 90.00°. Symmetry generates all atoms from Dy at (0.000, 0.000, 0.000), Nb at (0.250, 0.250, 0.250) and W at (0.000, 0.000, 0.500).

***

x) An optimized crystal structure of DyNbW, computed with PBE-GGA.

It has space group F-43m (No. 216), with a = 6.495 Å, b = 6.495 Å, c = 6.495 Å, α = 90.00°, β = 90.00° and γ = 90.00°. Symmetry generates all atoms from Dy at (0.000, 0.000, 0.000), Nb at (0.250, 0.250, 0.750) and W at (0.250, 0.250, 0.250).

***

Result of the stability comparison: x) is the least stable of them.